Record 1
First-principles (GGA-PBE) data for a relaxed Sr2CdHg crystal, as listed in the Alexandria database.

As for the space group: Immm, No. 71. The calculation puts the volume at 46.646 Å³/atom. For the formation energy from the elements, the calculation gives 0.9 eV per formula unit. The calculation puts the density of states at the Fermi level at 4.8 states/eV/cell.

Lattice parameters (Å, degrees): 7.838 7.838 7.838 150.45 61.33 127.58
Atoms (fractional coordinates):
Sr 0.258 0.000 0.258
Sr 0.742 0.000 0.742
Cd 0.000 0.000 0.000
Hg 0.500 0.000 0.500

Record 2
First-principles (GGA-PBE) data for a relaxed Cs2NbSeCl6 crystal, as listed in the Alexandria database.

For the formation energy without anion corrections, the calculation gives -1.21 eV per atom. As for the space group: I4/mmm, No. 139. The calculation puts the volume at 37.245 Å³/atom. The calculation puts the density of states at the Fermi level at 18.3 states/eV/cell.

Lattice parameters (Å, degrees): 7.876 7.876 8.189 61.26 61.26 90.00
Each line ends with the local moment (μB).
Atoms (fractional coordinates):
Cs 0.750 0.250 0.500  0.00
Cs 0.250 0.750 0.500  0.00
Nb 0.000 0.000 0.000  0.63
Se 0.500 0.500 0.000  0.87
Cl 0.202 0.202 0.595  0.00
Cl 0.798 0.798 0.405  0.00
Cl 0.218 0.218 0.000  0.03
Cl 0.782 0.782 0.000  0.03
Cl 0.782 0.218 0.000  0.03
Cl 0.218 0.782 0.000  0.03

Record 3
First-principles (GGA-PBE) data for a relaxed CrRePb2 crystal, as listed in the Alexandria database.

The value obtained for the energy above the most stable polymorph in this dataset is 0.5845 eV/atom. As for the space group: R-3m, No. 166. The calculation puts the volume at 21.360 Å³/atom. For the formation energy from the elements, the calculation gives 4.0 eV per formula unit. The calculation puts the density of states at the Fermi level at 4.1 states/eV/cell.

Lattice parameters (Å, degrees): 9.143 9.143 9.143 20.93 20.93 20.93
Each line ends with the local moment (μB).
Atoms (fractional coordinates):
Cr 0.750 0.750 0.750  3.80
Pb 0.996 0.996 0.996  -0.01
Pb 0.504 0.504 0.504  -0.01
Re 0.250 0.250 0.250  0.29

Record 4
First-principles (GGA-PBE) data for a relaxed BaCa2PmTe4 crystal, as listed in the Alexandria database.

For the formation energy without anion corrections, the calculation gives -1.57 eV per atom. As for the space group: P2/m, No. 10. The calculation puts the volume at 34.803 Å³/atom. The calculation puts the density of states at the Fermi level at 2.8 states/eV/cell.

Lattice parameters (Å, degrees): 4.592 7.974 8.051 70.83 90.00 90.00
Atoms (fractional coordinates):
Ba 0.500 0.500 0.000
Ca 0.000 0.000 0.000
Ca 0.500 0.000 0.500
Pm 0.000 0.500 0.500
Te 0.000 0.767 0.729
Te 0.000 0.233 0.271
Te 0.500 0.758 0.261
Te 0.500 0.242 0.739

Record 5
First-principles (GGA-PBE) data for a relaxed AlInTc2Ge crystal, as listed in the Alexandria database.

As for the space group: P4/mmm, No. 123. The calculation puts the volume at 21.387 Å³/atom. For the formation energy from the elements, the calculation gives 5.8 eV per formula unit. The calculation puts the density of states at the Fermi level at 4.5 states/eV/cell.

Lattice parameters (Å, degrees): 4.668 4.907 4.668 90.00 90.00 90.00
Each line ends with the local moment (μB).
Atoms (fractional coordinates):
Ge 0.000 0.000 0.000  -0.04
Al 0.500 0.500 0.500  -0.02
Tc 0.000 0.000 0.500  1.31
Tc 0.500 0.000 0.000  1.21
In 0.000 0.500 0.000  0.01

Record 6
First-principles (GGA-PBE) data for a relaxed LiLaThRu crystal, as listed in the Alexandria database.

As for the space group: F-43m, No. 216. The calculation puts the volume at 23.711 Å³/atom. For the formation energy from the elements, the calculation gives -0.4 eV per formula unit. The calculation puts the density of states at the Fermi level at 4.8 states/eV/cell.

Lattice parameters (Å, degrees): 5.119 5.119 5.119 60.00 60.00 60.00
Atoms (fractional coordinates):
Ru 0.750 0.750 0.750
Li 0.250 0.250 0.250
Th 0.500 0.500 0.500
La 0.000 0.000 0.000

Record 7
First-principles (GGA-PBE) data for a relaxed AsHPd5 crystal, as listed in the Alexandria database.

As for the space group: C2/c, No. 15. As for the uncorrected energy: -4.930 eV per atom. The calculation puts the volume at 15.521 Å³/atom. The calculation puts the density of states at the Fermi level at 6.0 states/eV/cell.

Lattice parameters (Å, degrees): 5.939 5.939 7.654 65.18 65.18 69.39
Atoms (fractional coordinates):
As 0.595 0.405 0.250
As 0.405 0.595 0.750
H 0.000 0.000 0.000
H 0.000 0.000 0.500
Pd 0.779 0.749 0.158
Pd 0.271 0.669 0.457
Pd 0.749 0.779 0.658
Pd 0.949 0.051 0.250
Pd 0.331 0.729 0.043
Pd 0.669 0.271 0.957
Pd 0.051 0.949 0.750
Pd 0.251 0.221 0.342
Pd 0.729 0.331 0.543
Pd 0.221 0.251 0.842

Record 8
First-principles (GGA-PBE) data for a relaxed BaSrEuSbO6 crystal, as listed in the Alexandria database.

For the formation energy without anion corrections, the calculation gives -2.41 eV per atom. As for the space group: F-43m, No. 216. The calculation puts the volume at 15.632 Å³/atom. The calculation puts the density of states at the Fermi level at 6.9 states/eV/cell.

Lattice parameters (Å, degrees): 6.047 6.047 6.047 60.00 60.00 60.00
Each line ends with the local moment (μB).
Atoms (fractional coordinates):
Ba 0.750 0.750 0.750  0.00
Sr 0.250 0.250 0.250  0.00
Eu 0.000 0.000 0.000  6.19
Sb 0.500 0.500 0.500  0.00
O 0.265 0.735 0.265  -0.04
O 0.735 0.265 0.735  -0.04
O 0.265 0.735 0.735  -0.04
O 0.735 0.265 0.265  -0.04
O 0.265 0.265 0.735  -0.04
O 0.735 0.735 0.265  -0.04

Record 9
First-principles (GGA-PBE) data for a relaxed LaPm5Ir4 crystal, as listed in the Alexandria database.

As for the space group: C2/m, No. 12. The calculation puts the volume at 26.015 Å³/atom. For the formation energy from the elements, the calculation gives -6.1 eV per formula unit. The calculation puts the density of states at the Fermi level at 5.6 states/eV/cell.

Lattice parameters (Å, degrees): 4.882 7.055 7.939 89.35 107.91 90.00
Atoms (fractional coordinates):
La 0.500 0.000 0.000
Pm 0.168 0.995 0.335
Pm 0.167 0.496 0.333
Pm 0.833 0.504 0.667
Pm 0.500 0.500 0.000
Pm 0.832 0.005 0.665
Ir 0.667 0.749 0.335
Ir 0.011 0.250 0.021
Ir 0.333 0.251 0.665
Ir 0.989 0.750 0.979

Record 10
First-principles (GGA-PBE) data for a relaxed Y2Pb4O crystal, as listed in the Alexandria database.

For the formation energy without anion corrections, the calculation gives -0.29 eV per atom. As for the space group: I4/mmm, No. 139. The calculation puts the volume at 27.541 Å³/atom. The calculation puts the density of states at the Fermi level at 5.9 states/eV/cell.

Lattice parameters (Å, degrees): 4.957 4.957 8.594 73.24 73.24 90.00
Atoms (fractional coordinates):
Pb 0.843 0.843 0.314
Pb 0.157 0.157 0.686
Pb 0.000 0.500 0.000
Pb 0.500 0.000 0.000
Y 0.644 0.644 0.712
Y 0.356 0.356 0.288
O 0.000 0.000 0.000

Record 11
First-principles (GGA-PBE) data for a relaxed ZrTlZn2 crystal, as listed in the Alexandria database.

The value obtained for the energy above the most stable polymorph in this dataset is 0.2222 eV/atom. As for the space group: C2/m, No. 12. The calculation puts the volume at 20.594 Å³/atom. For the formation energy from the elements, the calculation gives 0.3 eV per formula unit. The calculation puts the density of states at the Fermi level at 2.5 states/eV/cell.

Lattice parameters (Å, degrees): 5.173 5.173 5.497 79.24 79.24 34.82
Atoms (fractional coordinates):
Tl 0.750 0.750 0.750
Zn 0.995 0.995 0.032
Zn 0.505 0.505 0.468
Zr 0.250 0.250 0.250